1.
A geometry-optimized CoCu5Cl12 structure. Source: Alexandria via LeMat-Bulk, functional PBE.

The space group is C2/m (No. 12) and the conventional cell measures 7.087, 9.993 and 12.553 Å, with angles of 90.00, 93.26 and 90.00 degrees. Symmetry generates all atoms from Co at (0.000, 0.000, 0.000), Cu at (0.000, 0.167, 0.500), Cu at (0.000, 0.334, 0.000), Cu at (0.000, 0.500, 0.500), Cl at (0.091, 0.161, 0.891), Cl at (0.116, 0.000, 0.610), Cl at (0.116, 0.333, 0.610) and Cl at (0.144, 0.500, 0.904).

As for the uncorrected formation energy: -861 kJ/mol of formula units. The raw total energy comes out at -3.259 eV/atom.

2.
A geometry-optimized Dy2TmTh structure. Source: Alexandria via LeMat-Bulk, functional PBE.

The space group is R3m (No. 160, hexagonal axes) and the conventional cell measures 3.5512, 3.5512 and 34.5035 Å, with angles of 90.00, 90.00 and 120.00 degrees. Symmetry generates all atoms from Dy at (0.0000, 0.0000, 0.0000), Dy at (0.0000, 0.0000, 0.1686), Tm at (0.0000, 0.0000, 0.5844) and Th at (0.0000, 0.0000, 0.7500).

The formation energy is 0.03 eV/atom. The raw total energy comes out at -5.240 eV/atom.

3.
A geometry-optimized As2RuPb structure. Source: Alexandria via LeMat-Bulk, functional PBE.

The space group is C2/m (No. 12) and the conventional cell measures 5.727, 7.858 and 3.501 Å, with angles of 90.00, 90.22 and 90.00 degrees. Symmetry generates all atoms from As at (0.250, 0.250, 0.000), Ru at (0.000, 0.000, 0.500) and Pb at (0.000, 0.500, 0.500).

The formation energy is 0.52 eV/atom. The raw total energy comes out at -5.051 eV/atom.

4.
A geometry-optimized IrOs2Rh3 structure. Source: Alexandria via LeMat-Bulk, functional PBE.

The space group is P2_1/m (No. 11) and the conventional cell measures 5.428, 3.841 and 8.229 Å, with angles of 90.00, 90.24 and 90.00 degrees. Symmetry generates all atoms from Ir at (0.126, 0.250, 0.244), Os at (0.117, 0.250, 0.925), Os at (0.381, 0.750, 0.422), Rh at (0.125, 0.250, 0.583), Rh at (0.374, 0.750, 0.743) and Rh at (0.375, 0.750, 0.086).

The formation energy is 0.04 eV/atom. The raw total energy comes out at -8.859 eV/atom.

5.
A geometry-optimized Ac2IrPd structure. Source: Alexandria via LeMat-Bulk, functional PBE.

The space group is P4/mmm (No. 123) and the conventional cell measures 5.281, 5.281 and 3.786 Å, with angles of 90.00, 90.00 and 90.00 degrees. Symmetry generates all atoms from Ac at (0.000, 0.500, 0.000), Ir at (0.000, 0.000, 0.500) and Pd at (0.500, 0.500, 0.500).

The formation energy is -0.61 eV/atom. The raw total energy comes out at -6.181 eV/atom.

6.
A geometry-optimized TmMgGe2 structure. Source: Alexandria via LeMat-Bulk, functional PBE.

The space group is Pnma (No. 62) and the conventional cell measures 7.987, 3.802 and 11.033 Å, with angles of 90.00, 90.00 and 90.00 degrees. Symmetry generates all atoms from Tm at (0.121, 0.250, 0.149), Mg at (0.014, 0.750, 0.396), Ge at (0.165, 0.250, 0.802) and Ge at (0.237, 0.750, 0.956).

The formation energy is -0.43 eV/atom. The raw total energy comes out at -4.254 eV/atom.

7.
A geometry-optimized NiP4Au structure. Source: Alexandria via LeMat-Bulk, functional PBE.

The space group is F-43m (No. 216) and the conventional cell measures 7.237, 7.237 and 7.237 Å, with angles of 90.00, 90.00 and 90.00 degrees. Symmetry generates all atoms from Ni at (0.000, 0.000, 0.000), P at (0.115, 0.115, 0.615) and Au at (0.250, 0.250, 0.250).

The formation energy is 0.75 eV/atom. The raw total energy comes out at -4.369 eV/atom.

8.
A geometry-optimized BaMg2Zn2Ge2 structure. Source: Alexandria via LeMat-Bulk, functional PBE.

The space group is R-3m (No. 166, hexagonal axes) and the conventional cell measures 4.5572, 4.5572 and 26.2214 Å, with angles of 90.00, 90.00 and 120.00 degrees. Symmetry generates all atoms from Ba at (0.0000, 0.0000, 0.0000), Mg at (0.0000, 0.0000, 0.1398), Zn at (0.0000, 0.0000, 0.4450) and Ge at (0.0000, 0.0000, 0.2483).

The formation energy is -0.29 eV/atom. The raw total energy comes out at -2.703 eV/atom.

9.
A geometry-optimized KAlVI2 structure. Source: Alexandria via LeMat-Bulk, functional PBE.

The space group is P4/mmm (No. 123) and the conventional cell measures 5.550, 5.550 and 6.657 Å, with angles of 90.00, 90.00 and 90.00 degrees. Symmetry generates all atoms from K at (0.000, 0.000, 0.000), Al at (0.500, 0.500, 0.000), V at (0.000, 0.000, 0.500) and I at (0.000, 0.500, 0.500).

As for the uncorrected formation energy: 168 kJ/mol of formula units. The raw total energy comes out at -3.064 eV/atom.

10.
A geometry-optimized LaDyGeSe structure. Source: Alexandria via LeMat-Bulk, functional PBE.

The space group is R3m (No. 160, hexagonal axes) and the conventional cell measures 4.2601, 4.2601 and 20.9435 Å, with angles of 90.00, 90.00 and 120.00 degrees. Symmetry generates all atoms from La at (0.0000, 0.0000, 0.0000), Dy at (0.0000, 0.0000, 0.5073), Ge at (0.0000, 0.0000, 0.2496) and Se at (0.0000, 0.0000, 0.7587).

As for the uncorrected formation energy: -543 kJ/mol of formula units. The raw total energy comes out at -5.816 eV/atom.

11.
A geometry-optimized YMg2Au structure. Source: Alexandria via LeMat-Bulk, functional PBE.

The space group is I-42d (No. 122) and the conventional cell measures 8.308, 8.308 and 5.838 Å, with angles of 90.00, 90.00 and 90.00 degrees. Symmetry generates all atoms from Y at (0.000, 0.000, 0.000), Mg at (0.189, 0.250, 0.625) and Au at (0.000, 0.000, 0.500).

The formation energy is -0.23 eV/atom. The raw total energy comes out at -3.462 eV/atom.

12.
A geometry-optimized TbPr7Dy2 structure. Source: Alexandria via LeMat-Bulk, functional PBE.

The space group is Cmmm (No. 65) and the conventional cell measures 12.220, 17.050 and 3.537 Å, with angles of 90.00, 90.00 and 90.00 degrees. Symmetry generates all atoms from Tb at (0.000, 0.000, 0.000), Pr at (0.000, 0.321, 0.000), Pr at (0.000, 0.500, 0.500), Pr at (0.246, 0.371, 0.500) and Dy at (0.000, 0.166, 0.500).

The formation energy is 0.36 eV/atom. The raw total energy comes out at -4.364 eV/atom.

13.
A geometry-optimized BaLi2Eu structure. Source: Alexandria via LeMat-Bulk, functional PBE.

The space group is P4/mmm (No. 123) and the conventional cell measures 4.218, 4.218 and 8.453 Å, with angles of 90.00, 90.00 and 90.00 degrees. Symmetry generates all atoms from Ba at (0.000, 0.000, 0.000), Li at (0.500, 0.500, 0.278) and Eu at (0.000, 0.000, 0.500).

The formation energy is 0.06 eV/atom. The raw total energy comes out at -3.945 eV/atom.